4
Lattice="-3.667 -2.025 -2.425 0.876 -2.583 -3.998 -0.573 -4.806 0.050" Properties=species:S:1:pos:R:3 comment="GGA-PBE ErZrZnPt, optimized geometry" magmom_total_mub_per_cell=0.0 formation_enthalpy_0k_ev_per_atom=-0.644 pbc="T T T"
Zn -0.841 -2.354 -1.593
Zr -1.682 -4.707 -3.186
Pt -2.523 -7.061 -4.780
Er 0.000 0.000 0.000


4
Lattice="2.924 0.000 0.000 1.462 2.532 0.000 1.462 0.844 9.649" Properties=species:S:1:pos:R:3 comment="GGA-PBE CeVGa2, optimized geometry" e_above_lowest_polymorph_mev_per_atom=135 magmom_total_mub_per_cell=0.0 formation_enthalpy_0k_ev_per_atom=-0.099 pbc="T T T"
Ga 4.386 2.532 7.546
Ga 1.462 0.844 2.103
Ce 2.924 1.688 4.825
V 0.000 0.000 0.000


7
Lattice="3.342 -5.789 0.000 3.342 5.789 0.000 0.000 0.000 4.033" Properties=species:S:1:pos:R:3 comment="GGA-PBE Co4Br3, optimized geometry" magmom_total_mub_per_cell=9.0 raw_formation_energy_ev_per_atom=1.12 pbc="T T T"
Co 0.000 0.000 1.021
Co 0.000 0.000 3.013
Co 3.342 -1.930 2.017
Co 3.342 1.930 2.017
Br 1.671 2.894 0.000
Br 3.342 0.000 0.000
Br 1.671 -2.894 0.000


4
Lattice="-2.191 -1.157 -3.154 -3.206 -2.350 0.539 -5.927 4.634 -0.132" Properties=species:S:1:pos:R:3 comment="GGA-PBE Pm2BeOs, optimized geometry" e_above_lowest_polymorph_mev_per_atom=0 magmom_total_mub_per_cell=0.0 formation_enthalpy_0k_ev_per_atom=-0.151 pbc="T T T"
Pm -7.406 0.066 -2.530
Pm -3.641 -1.529 -2.010
Be -6.681 2.744 -1.466
Os -8.103 1.586 -0.053


18
Lattice="6.175 0.000 0.000 0.000 9.941 0.000 0.000 0.000 9.941" Properties=species:S:1:pos:R:3 comment="GGA-PBE SrLa4Ge4, optimized geometry" magmom_total_mub_per_cell=0.0 formation_enthalpy_0k_ev_per_atom=-0.571 pbc="T T T"
Sr 0.000 0.000 0.000
Sr 3.087 4.971 4.971
La 2.352 3.519 8.816
La 5.439 6.096 8.490
La 2.352 6.422 1.126
La 0.736 1.452 6.096
La 3.823 8.816 6.422
La 0.736 8.490 3.845
La 5.439 3.845 1.452
La 3.823 1.126 3.519
Ge 3.782 7.945 3.370
Ge 3.782 1.996 6.571
Ge 0.694 8.341 6.967
Ge 5.480 2.975 8.341
Ge 5.480 6.967 1.600
Ge 2.393 3.370 1.996
Ge 2.393 6.571 7.945
Ge 0.694 1.600 2.975


4
Lattice="-4.416 5.355 -0.083 -5.982 2.632 -2.338 -6.337 2.399 1.505" Properties=species:S:1:pos:R:3 comment="GGA-PBE LiTePt2, optimized geometry" magmom_total_mub_per_cell=0.0 raw_formation_energy_ev_per_atom=-0.13 pbc="T T T"
Li -12.309 7.639 -0.674
Pt -16.600 10.302 -0.909
Pt -4.275 2.653 -0.234
Te -8.654 5.371 -0.474


4
Lattice="-2.421 -1.200 1.091 1.728 -2.061 -1.123 3.694 -0.858 7.256" Properties=species:S:1:pos:R:3 comment="GGA-PBE ScMo2P, optimized geometry" magmom_total_mub_per_cell=0.0 formation_enthalpy_0k_ev_per_atom=-0.109 pbc="T T T"
Sc 0.652 -1.862 1.946
Mo 3.648 -0.847 7.166
Mo 2.357 -2.258 5.296
P 1.883 -0.437 3.700


4
Lattice="-0.608 2.417 2.184 -3.257 -0.486 -0.368 0.089 -3.814 4.246" Properties=species:S:1:pos:R:3 comment="GGA-PBE Be2SiTe, optimized geometry" e_above_lowest_polymorph_mev_per_atom=411 magmom_total_mub_per_cell=0.0 raw_formation_energy_ev_per_atom=0.66 pbc="T T T"
Be 0.006 -0.245 0.272
Be 0.039 -1.663 1.851
Si -1.910 0.012 1.969
Te -1.865 -1.896 4.092


4
Lattice="-5.130 -0.241 -0.304 -2.235 -3.494 -3.044 -2.515 -3.982 2.070" Properties=species:S:1:pos:R:3 comment="GGA-PBE AcCdCuAu, optimized geometry" magmom_total_mub_per_cell=0.0 formation_enthalpy_0k_ev_per_atom=-0.331 pbc="T T T"
Ac -2.470 -1.929 -0.319
Au -4.940 -3.859 -0.639
Cu 0.000 0.000 0.000
Cd -7.410 -5.788 -0.958


4
Lattice="-0.770 3.853 -2.580 -4.183 -1.765 -1.387 -2.492 2.432 4.374" Properties=species:S:1:pos:R:3 comment="GGA-PBE BaHg2Os, optimized geometry" e_above_lowest_polymorph_mev_per_atom=105 magmom_total_mub_per_cell=0.5 formation_enthalpy_0k_ev_per_atom=0.485 pbc="T T T"
Os -2.311 0.793 1.873
Hg -3.493 1.955 3.960
Hg -2.148 2.179 -0.388
Ba -5.320 2.359 0.828


6
Lattice="3.838 0.000 0.000 0.000 3.838 0.000 0.000 0.000 8.572" Properties=species:S:1:pos:R:3 comment="GGA-PBE TbAsS, optimized geometry" magmom_total_mub_per_cell=0.0 raw_formation_energy_ev_per_atom=-1.56 pbc="T T T"
As 2.878 0.959 0.000
As 0.959 2.878 0.000
Tb 2.878 2.878 6.077
Tb 0.959 0.959 2.495
S 2.878 2.878 3.206
S 0.959 0.959 5.366


11
Lattice="-6.459 1.635 1.922 -6.075 -5.280 4.731 -3.560 0.070 8.630" Properties=species:S:1:pos:R:3 comment="GGA-PBE Zr2TiCl8, optimized geometry" e_above_lowest_polymorph_mev_per_atom=30 magmom_total_mub_per_cell=2.1 raw_formation_energy_ev_per_atom=-1.44 pbc="T T T"
Zr -6.755 -0.073 4.456
Zr -9.338 -3.502 10.827
Ti 0.000 0.000 0.000
Cl -6.261 -2.733 4.594
Cl -11.080 -3.499 8.753
Cl -1.933 -0.160 1.465
Cl -14.161 -3.415 13.818
Cl -5.013 -0.076 6.530
Cl -9.832 -0.842 10.689
Cl -8.496 -0.434 6.074
Cl -7.597 -3.141 9.209


8
Lattice="4.901 0.000 0.000 0.000 5.261 0.100 0.000 -1.025 8.177" Properties=species:S:1:pos:R:3 comment="GGA-PBE AcIn2Cu, optimized geometry" e_above_lowest_polymorph_mev_per_atom=32 magmom_total_mub_per_cell=0.0 formation_enthalpy_0k_ev_per_atom=-0.315 pbc="T T T"
Ac 3.675 1.638 6.569
Ac 1.225 2.598 1.708
In 3.675 0.051 0.875
In 1.225 4.185 7.402
In 3.675 3.945 3.785
In 1.225 0.291 4.492
Cu 3.675 1.313 3.345
Cu 1.225 2.923 4.932


4
Lattice="3.536 0.000 0.000 0.000 3.536 0.000 0.000 0.000 10.047" Properties=species:S:1:pos:R:3 comment="GGA-PBE TbCeGd2, optimized geometry" e_above_lowest_polymorph_mev_per_atom=0 magmom_total_mub_per_cell=13.7 formation_enthalpy_0k_ev_per_atom=0.063 pbc="T T T"
Gd 0.000 0.000 7.608
Gd 0.000 0.000 2.439
Tb 1.768 1.768 5.023
Ce 1.768 1.768 0.000


5
Lattice="-0.549 2.329 -4.523 -2.017 -4.582 -2.114 -4.719 1.465 1.327" Properties=species:S:1:pos:R:3 comment="GGA-PBE SrTa2GaPb, optimized geometry" magmom_total_mub_per_cell=0.0 formation_enthalpy_0k_ev_per_atom=2.335 pbc="T T T"
Pb -3.643 -0.394 -2.655
Sr 0.000 0.000 0.000
Ga -1.009 -2.291 -1.057
Ta -2.360 0.733 0.664
Ta -0.274 1.164 -2.261


5
Lattice="-3.368 2.737 -0.725 -1.106 -2.169 -3.048 -2.542 -2.426 2.649" Properties=species:S:1:pos:R:3 comment="GGA-PBE AlReIr2F, optimized geometry" magmom_total_mub_per_cell=0.0 raw_formation_energy_ev_per_atom=1.03 pbc="T T T"
Re -0.553 -1.084 -1.524
Ir -1.271 -1.213 1.324
Ir -1.684 1.369 -0.362
Al -3.508 -0.929 -0.562
F 0.000 0.000 0.000


5
Lattice="-2.972 3.497 4.253 1.509 -4.131 4.451 5.295 3.140 1.119" Properties=species:S:1:pos:R:3 comment="GGA-PBE BaVBr3, optimized geometry" e_above_lowest_polymorph_mev_per_atom=569 magmom_total_mub_per_cell=4.0 raw_formation_energy_ev_per_atom=-0.52 pbc="T T T"
Ba 0.000 0.000 0.000
Br 0.755 -2.065 2.225
Br 2.648 1.570 0.559
Br -1.486 1.748 2.127
V 1.916 1.253 4.911


6
Lattice="5.222 0.000 0.000 2.611 4.522 0.000 2.611 1.507 4.264" Properties=species:S:1:pos:R:3 comment="GGA-PBE TmTc4Mo, optimized geometry" magmom_total_mub_per_cell=0.0 formation_enthalpy_0k_ev_per_atom=0.052 pbc="T T T"
Mo 0.000 0.000 0.000
Tm 2.611 1.507 1.066
Tc 5.222 3.015 0.534
Tc 5.222 1.509 2.664
Tc 6.526 3.768 2.664
Tc 3.917 3.768 2.664


5
Lattice="-0.052 4.259 1.379 -4.140 -0.687 1.966 2.011 -1.210 3.813" Properties=species:S:1:pos:R:3 comment="GGA-PBE KTc2IrPd, optimized geometry" magmom_total_mub_per_cell=2.4 formation_enthalpy_0k_ev_per_atom=2.972 pbc="T T T"
K 0.000 0.000 0.000
Ir -1.090 1.181 3.579
Tc 1.006 -0.605 1.906
Tc -0.026 2.130 0.689
Pd -2.070 -0.343 0.983


13
Lattice="3.850 8.241 -0.847 -3.850 8.241 -0.847 0.000 -0.283 6.296" Properties=species:S:1:pos:R:3 comment="GGA-PBE Nd8Cd3Rh2, optimized geometry" magmom_total_mub_per_cell=0.0 formation_enthalpy_0k_ev_per_atom=-0.270 pbc="T T T"
Nd 0.000 6.877 0.490
Nd 0.000 9.322 4.112
Nd 0.000 13.332 -0.572
Nd 0.000 2.867 5.174
Nd -1.887 10.553 1.183
Nd 1.887 10.553 1.183
Nd -1.887 5.646 3.419
Nd 1.887 5.646 3.419
Cd 0.000 -0.142 3.148
Cd 2.510 8.241 -0.847
Cd -2.510 8.241 -0.847
Rh 0.000 11.883 2.990
Rh 0.000 4.316 1.612